# 1
The following is a DFT calculation (GGA-PBE) of crystalline NaZn2Mo2 at its relaxed geometry.

Results
Distance to the lowest polymorph of the same formula: 0.0 kJ/mol of atoms

Unit cell a=8.2619 b=8.2619 c=2.5984 alpha=90.00 beta=90.00 gamma=90.00
Fractional coordinates of all 10 atoms:
Na (0.0000, 0.0000, 0.0000)
Na (0.5000, 0.5000, 0.0000)
Zn (0.1845, 0.3155, 0.5000)
Zn (0.3155, 0.8155, 0.5000)
Zn (0.6845, 0.1845, 0.5000)
Zn (0.8155, 0.6845, 0.5000)
Mo (0.1070, 0.6070, 0.0000)
Mo (0.3930, 0.1070, 0.0000)
Mo (0.6070, 0.8930, 0.0000)
Mo (0.8930, 0.3930, 0.0000)


# 2
The following is a DFT calculation (GGA-PBE) of crystalline NaZn2Mo at its relaxed geometry.

Results
Distance to the lowest polymorph of the same formula: 26.4 kJ/mol of atoms

Unit cell a=7.2327 b=7.2327 c=5.8142 alpha=90.00 beta=90.00 gamma=90.00
Fractional coordinates of all 16 atoms:
Na (0.0000, 0.0000, 0.0000)
Na (0.0000, 0.5000, 0.2500)
Na (0.5000, 0.0000, 0.7500)
Na (0.5000, 0.5000, 0.5000)
Zn (0.2323, 0.2500, 0.6250)
Zn (0.2500, 0.7323, 0.8750)
Zn (0.2500, 0.7677, 0.3750)
Zn (0.2677, 0.2500, 0.1250)
Zn (0.7323, 0.7500, 0.1250)
Zn (0.7500, 0.2323, 0.3750)
Zn (0.7500, 0.2677, 0.8750)
Zn (0.7677, 0.7500, 0.6250)
Mo (0.0000, 0.0000, 0.5000)
Mo (0.0000, 0.5000, 0.7500)
Mo (0.5000, 0.0000, 0.2500)
Mo (0.5000, 0.5000, 0.0000)


# 3
The following is a DFT calculation (GGA-PBE) of crystalline Na3ZnMo at its relaxed geometry.

Results
Distance to the lowest polymorph of the same formula: 0.0 kJ/mol of atoms

Unit cell a=5.4794 b=5.4794 c=5.4794 alpha=90.00 beta=90.00 gamma=90.00
Fractional coordinates of all 5 atoms:
Na (0.0000, 0.0000, 0.5000)
Na (0.0000, 0.5000, 0.0000)
Na (0.5000, 0.0000, 0.0000)
Zn (0.0000, 0.0000, 0.0000)
Mo (0.5000, 0.5000, 0.5000)


# 4
The following is a DFT calculation (GGA-PBE) of crystalline NaZn2Mo2 at its relaxed geometry.

Results
Distance to the lowest polymorph of the same formula: 46.9 kJ/mol of atoms

Unit cell a=4.1362 b=4.1362 c=11.1976 alpha=90.00 beta=90.00 gamma=90.00
Fractional coordinates of all 10 atoms:
Na (0.0000, 0.0000, 0.0000)
Na (0.5000, 0.5000, 0.5000)
Zn (0.0000, 0.5000, 0.2500)
Zn (0.0000, 0.5000, 0.7500)
Zn (0.5000, 0.0000, 0.2500)
Zn (0.5000, 0.0000, 0.7500)
Mo (0.0000, 0.0000, 0.4028)
Mo (0.0000, 0.0000, 0.5972)
Mo (0.5000, 0.5000, 0.0972)
Mo (0.5000, 0.5000, 0.9028)


# 5
The following is a DFT calculation (GGA-PBE) of crystalline Na3ZnMo at its relaxed geometry.

Results
Distance to the lowest polymorph of the same formula: 16.5 kJ/mol of atoms

Unit cell a=6.0526 b=6.0526 c=6.0526 alpha=90.00 beta=90.00 gamma=90.00
Fractional coordinates of all 5 atoms:
Na (0.0000, 0.0000, 0.5000)
Na (0.0000, 0.5000, 0.0000)
Na (0.5000, 0.0000, 0.0000)
Zn (0.5000, 0.5000, 0.5000)
Mo (0.0000, 0.0000, 0.0000)


# 6
The following is a DFT calculation (GGA-PBE) of crystalline Na2ZnMo at its relaxed geometry.

Unit cell a=8.4386 b=8.4386 c=5.4962 alpha=90.00 beta=90.00 gamma=90.00
Fractional coordinates of all 16 atoms:
Na (0.2156, 0.2500, 0.1250)
Na (0.2500, 0.7156, 0.3750)
Na (0.2500, 0.7844, 0.8750)
Na (0.2844, 0.2500, 0.6250)
Na (0.7156, 0.7500, 0.6250)
Na (0.7500, 0.2156, 0.8750)
Na (0.7500, 0.2844, 0.3750)
Na (0.7844, 0.7500, 0.1250)
Zn (0.0000, 0.0000, 0.0000)
Zn (0.0000, 0.5000, 0.2500)
Zn (0.5000, 0.0000, 0.7500)
Zn (0.5000, 0.5000, 0.5000)
Mo (0.0000, 0.0000, 0.5000)
Mo (0.0000, 0.5000, 0.7500)
Mo (0.5000, 0.0000, 0.2500)
Mo (0.5000, 0.5000, 0.0000)


# 7
The following is a DFT calculation (GGA-PBE) of crystalline NaZr2Mo at its relaxed geometry.

Results
Distance to the lowest polymorph of the same formula: 64.1 kJ/mol of atoms

Unit cell a=4.2320 b=4.2320 c=19.6537 alpha=90.00 beta=90.00 gamma=90.00
Fractional coordinates of all 16 atoms:
Na (0.0000, 0.0000, 0.0000)
Na (0.0000, 0.5000, 0.2500)
Na (0.5000, 0.0000, 0.7500)
Na (0.5000, 0.5000, 0.5000)
Zr (0.2283, 0.2500, 0.6250)
Zr (0.2500, 0.7283, 0.8750)
Zr (0.2500, 0.7717, 0.3750)
Zr (0.2717, 0.2500, 0.1250)
Zr (0.7283, 0.7500, 0.1250)
Zr (0.7500, 0.2283, 0.3750)
Zr (0.7500, 0.2717, 0.8750)
Zr (0.7717, 0.7500, 0.6250)
Mo (0.0000, 0.0000, 0.5000)
Mo (0.0000, 0.5000, 0.7500)
Mo (0.5000, 0.0000, 0.2500)
Mo (0.5000, 0.5000, 0.0000)


# 8
The following is a DFT calculation (GGA-PBE) of crystalline Na3ZrMo at its relaxed geometry.

Results
Distance to the lowest polymorph of the same formula: 45.5 kJ/mol of atoms

Unit cell a=5.6350 b=5.6350 c=5.6350 alpha=90.00 beta=90.00 gamma=90.00
Fractional coordinates of all 5 atoms:
Na (0.0000, 0.0000, 0.5000)
Na (0.0000, 0.5000, 0.0000)
Na (0.5000, 0.0000, 0.0000)
Zr (0.0000, 0.0000, 0.0000)
Mo (0.5000, 0.5000, 0.5000)


# 9
The following is a DFT calculation (GGA-PBE) of crystalline NaZrMo2 at its relaxed geometry.

Results
Distance to the lowest polymorph of the same formula: 0.0 kJ/mol of atoms

Unit cell a=6.6727 b=6.6727 c=6.6727 alpha=90.00 beta=90.00 gamma=90.00
Fractional coordinates of all 16 atoms:
Na (0.0000, 0.0000, 0.0000)
Na (0.0000, 0.5000, 0.5000)
Na (0.5000, 0.0000, 0.5000)
Na (0.5000, 0.5000, 0.0000)
Zr (0.0000, 0.0000, 0.5000)
Zr (0.0000, 0.5000, 0.0000)
Zr (0.5000, 0.0000, 0.0000)
Zr (0.5000, 0.5000, 0.5000)
Mo (0.2500, 0.2500, 0.2500)
Mo (0.2500, 0.2500, 0.7500)
Mo (0.2500, 0.7500, 0.2500)
Mo (0.2500, 0.7500, 0.7500)
Mo (0.7500, 0.2500, 0.2500)
Mo (0.7500, 0.2500, 0.7500)
Mo (0.7500, 0.7500, 0.2500)
Mo (0.7500, 0.7500, 0.7500)


# 10
The following is a DFT calculation (GGA-PBE) of crystalline Na3ZrMo at its relaxed geometry.

Results
Distance to the lowest polymorph of the same formula: 0.0 kJ/mol of atoms

Unit cell a=5.2590 b=5.2590 c=5.2590 alpha=90.00 beta=90.00 gamma=90.00
Fractional coordinates of all 5 atoms:
Na (0.0000, 0.0000, 0.5000)
Na (0.0000, 0.5000, 0.0000)
Na (0.5000, 0.0000, 0.0000)
Zr (0.5000, 0.5000, 0.5000)
Mo (0.0000, 0.0000, 0.0000)


# 11
The following is a DFT calculation (GGA-PBE) of crystalline NaZr2Mo at its relaxed geometry.

Results
Distance to the lowest polymorph of the same formula: 0.0 kJ/mol of atoms

Unit cell a=6.8665 b=6.8665 c=6.8665 alpha=90.00 beta=90.00 gamma=90.00
Fractional coordinates of all 16 atoms:
Na (0.0000, 0.0000, 0.0000)
Na (0.0000, 0.5000, 0.5000)
Na (0.5000, 0.0000, 0.5000)
Na (0.5000, 0.5000, 0.0000)
Zr (0.2500, 0.2500, 0.2500)
Zr (0.2500, 0.2500, 0.7500)
Zr (0.2500, 0.7500, 0.2500)
Zr (0.2500, 0.7500, 0.7500)
Zr (0.7500, 0.2500, 0.2500)
Zr (0.7500, 0.2500, 0.7500)
Zr (0.7500, 0.7500, 0.2500)
Zr (0.7500, 0.7500, 0.7500)
Mo (0.0000, 0.0000, 0.5000)
Mo (0.0000, 0.5000, 0.0000)
Mo (0.5000, 0.0000, 0.0000)
Mo (0.5000, 0.5000, 0.5000)


# 12
The following is a DFT calculation (GGA-PBE) of crystalline NaZrMo2 at its relaxed geometry.

Results
Distance to the lowest polymorph of the same formula: 2.9 kJ/mol of atoms

Unit cell a=3.9165 b=3.9165 c=20.2211 alpha=90.00 beta=90.00 gamma=90.00
Fractional coordinates of all 16 atoms:
Na (0.0000, 0.0000, 0.0000)
Na (0.0000, 0.5000, 0.2500)
Na (0.5000, 0.0000, 0.7500)
Na (0.5000, 0.5000, 0.5000)
Zr (0.0000, 0.0000, 0.5000)
Zr (0.0000, 0.5000, 0.7500)
Zr (0.5000, 0.0000, 0.2500)
Zr (0.5000, 0.5000, 0.0000)
Mo (0.2199, 0.2500, 0.6250)
Mo (0.2500, 0.7199, 0.8750)
Mo (0.2500, 0.7801, 0.3750)
Mo (0.2801, 0.2500, 0.1250)
Mo (0.7199, 0.7500, 0.1250)
Mo (0.7500, 0.2199, 0.3750)
Mo (0.7500, 0.2801, 0.8750)
Mo (0.7801, 0.7500, 0.6250)


# 13
The following is a DFT calculation (GGA-PBE) of crystalline Nb2Mo5 at its relaxed geometry.

Unit cell a=7.5366 b=7.5366 c=6.0942 alpha=90.69 beta=90.69 gamma=42.69
Fractional coordinates of all 14 atoms:
Nb (0.0485, 0.8004, 0.8925)
Nb (0.1996, 0.9515, 0.6075)
Nb (0.8004, 0.0485, 0.3925)
Nb (0.9515, 0.1996, 0.1075)
Mo (0.0889, 0.3486, 0.8218)
Mo (0.2310, 0.4818, 0.5332)
Mo (0.3486, 0.0889, 0.3218)
Mo (0.3786, 0.6214, 0.2500)
Mo (0.4818, 0.2310, 0.0332)
Mo (0.5182, 0.7690, 0.9668)
Mo (0.6214, 0.3786, 0.7500)
Mo (0.6514, 0.9111, 0.6782)
Mo (0.7690, 0.5182, 0.4668)
Mo (0.9111, 0.6514, 0.1782)


# 14
The following is a DFT calculation (GGA-PBE) of crystalline Nb3Mo5 at its relaxed geometry.

Results
Distance to the lowest polymorph of the same formula: 0.0 kJ/mol of atoms

Unit cell a=6.4311 b=6.4311 c=6.4311 alpha=90.00 beta=90.00 gamma=90.00
Fractional coordinates of all 16 atoms:
Nb (0.0000, 0.0000, 0.5000)
Nb (0.0000, 0.5000, 0.0000)
Nb (0.0000, 0.5000, 0.5000)
Nb (0.5000, 0.0000, 0.0000)
Nb (0.5000, 0.0000, 0.5000)
Nb (0.5000, 0.5000, 0.0000)
Mo (0.0000, 0.0000, 0.0000)
Mo (0.2500, 0.2500, 0.2500)
Mo (0.2500, 0.2500, 0.7500)
Mo (0.2500, 0.7500, 0.2500)
Mo (0.2500, 0.7500, 0.7500)
Mo (0.5000, 0.5000, 0.5000)
Mo (0.7500, 0.2500, 0.2500)
Mo (0.7500, 0.2500, 0.7500)
Mo (0.7500, 0.7500, 0.2500)
Mo (0.7500, 0.7500, 0.7500)


| no. | energy (eV/atom) |
| --- | --- |
| 1 | -4.7765 |
| 2 | -2.8623 |
| 3 | -2.0914 |
| 4 | -4.2901 |
| 5 | -1.9203 |
| 6 | -2.6393 |
| 7 | -6.2312 |
| 8 | -2.1659 |
| 9 | -6.8688 |
| 10 | -2.6371 |
| 11 | -6.8953 |
| 12 | -6.8384 |
| 13 | -10.4396 |
| 14 | -10.6769 |